# 1
! PBE KTl10Cd2, relaxed; values from VASP
&SYSTEM
  ibrav = 0, nat = 13, ntyp = 3
/
ATOMIC_SPECIES
K 39.10 K.upf
Tl 204.38 Tl.upf
Cd 112.41 Cd.upf
CELL_PARAMETERS angstrom
6.304 0.000 0.000
3.152 8.068 0.000
3.152 0.000 8.042
ATOMIC_POSITIONS angstrom
K 0.000 0.000 0.000
Tl 6.304 5.146 5.213
Tl 6.304 2.922 2.829
Tl 9.456 2.922 5.213
Tl 3.152 5.146 2.829
Tl 1.576 0.000 4.021
Tl 4.728 0.000 4.021
Tl 3.152 1.755 1.649
Tl 9.456 6.313 6.393
Tl 6.304 6.313 1.649
Tl 6.304 1.755 6.393
Cd 1.576 4.034 0.000
Cd 4.728 4.034 0.000
! ΔE_f, meV per atom: -9
! Crystal system: orthorhombic

***

# 2
! PBE PuMg2PaBi4, relaxed; values from VASP
&SYSTEM
  ibrav = 0, nat = 8, ntyp = 4
/
ATOMIC_SPECIES
Pu 244.00 Pu.upf
Mg 24.30 Mg.upf
Pa 231.04 Pa.upf
Bi 208.98 Bi.upf
CELL_PARAMETERS angstrom
-5.921 2.040 -0.918
-2.134 -4.382 4.038
4.685 5.208 3.168
ATOMIC_POSITIONS angstrom
Pu -4.028 -1.171 1.560
Mg -0.738 -0.173 4.383
Mg 0.000 0.000 0.000
Pa -2.632 3.038 1.905
Bi -2.304 5.053 4.265
Bi -2.960 1.023 -0.455
Bi -3.691 0.898 3.983
Bi 0.320 1.967 2.304
! ΔE_f, meV per atom: -129
! Crystal system: tetragonal

***

# 3
! PBE BPdS, relaxed; values from VASP
&SYSTEM
  ibrav = 0, nat = 6, ntyp = 3
/
ATOMIC_SPECIES
B 10.81 B.upf
S 32.06 S.upf
Pd 106.42 Pd.upf
CELL_PARAMETERS angstrom
0.102 1.414 -3.307
3.019 -3.563 -3.489
-6.060 -1.385 -1.231
ATOMIC_POSITIONS angstrom
B 0.890 -1.910 -2.316
B -3.681 -2.580 -4.375
S 2.251 -2.987 -2.980
S -2.680 -1.143 -4.166
Pd 0.648 -0.087 -3.558
Pd -1.154 -1.775 -2.418
! Relative energy among the computed polymorphs, meV per atom: 250.4
! Crystal system: triclinic
! Energy relative to the elements, uncorrected, eV per formula unit: 0.12

***

# 4
! PBE Pm4CoAu2, relaxed; values from VASP
&SYSTEM
  ibrav = 0, nat = 7, ntyp = 3
/
ATOMIC_SPECIES
Pm 145.00 Pm.upf
Co 58.93 Co.upf
Au 196.97 Au.upf
CELL_PARAMETERS angstrom
-2.840 2.371 2.901
-4.688 -1.460 -3.396
1.988 -6.290 3.277
ATOMIC_POSITIONS angstrom
Pm -1.995 -2.738 4.094
Pm -3.545 -2.641 -1.312
Pm -2.582 -0.046 1.319
Pm -2.958 -5.333 1.463
Co 0.000 0.000 0.000
Au -4.296 -2.583 1.714
Au -1.244 -2.796 1.068
! ΔE_f, meV per atom: -441
! Relative energy among the computed polymorphs, meV per atom: 0.0
! Crystal system: monoclinic

***

# 5
! PBE Er2SnAu, relaxed; values from VASP
&SYSTEM
  ibrav = 0, nat = 8, ntyp = 3
/
ATOMIC_SPECIES
Er 167.26 Er.upf
Sn 118.71 Sn.upf
Au 196.97 Au.upf
CELL_PARAMETERS angstrom
-0.413 -1.772 4.052
2.458 -5.152 -2.002
5.734 5.061 2.798
ATOMIC_POSITIONS angstrom
Er 2.704 -0.173 3.852
Er 5.074 -1.690 0.996
Er 2.279 -4.022 -0.309
Er 5.499 2.158 5.157
Sn 1.897 -1.065 0.945
Sn 5.881 -0.798 3.903
Au 3.058 -3.317 2.513
Au 4.720 1.454 2.335
! ΔE_f, meV per atom: -778
! Crystal system: monoclinic

***

# 6
! PBE FeCo2P, relaxed; values from VASP
&SYSTEM
  ibrav = 0, nat = 4, ntyp = 3
/
ATOMIC_SPECIES
Co 58.93 Co.upf
Fe 55.84 Fe.upf
P 30.97 P.upf
CELL_PARAMETERS angstrom
7.634 0.001 0.001
7.181 2.588 0.001
7.181 1.255 2.263
ATOMIC_POSITIONS angstrom
Co 0.145 0.025 0.015
Co 10.853 1.897 1.117
Fe 5.499 0.961 0.566
P 16.497 2.883 1.699
! ΔE_f, meV per atom: -45
! Crystal system: trigonal

***

# 7
! PBE CdTcCl2, relaxed; values from VASP
&SYSTEM
  ibrav = 0, nat = 4, ntyp = 3
/
ATOMIC_SPECIES
Cl 35.45 Cl.upf
Tc 98.00 Tc.upf
Cd 112.41 Cd.upf
CELL_PARAMETERS angstrom
-1.917 -3.196 -3.467
3.655 0.020 -3.542
0.575 -0.879 4.981
ATOMIC_POSITIONS angstrom
Cl 0.000 0.000 0.000
Cl 0.869 -1.588 -3.505
Tc 2.550 -1.224 -1.033
Cd -0.237 -2.832 -0.995
! Relative energy among the computed polymorphs, meV per atom: 631.7
! Crystal system: tetragonal
! Energy relative to the elements, uncorrected, eV per formula unit: 1.71

***

# 8
! PBE Mg2NiIr2, relaxed; values from VASP
&SYSTEM
  ibrav = 0, nat = 10, ntyp = 3
/
ATOMIC_SPECIES
Ni 58.69 Ni.upf
Mg 24.30 Mg.upf
Ir 192.22 Ir.upf
CELL_PARAMETERS angstrom
6.284 0.000 0.000
0.000 6.284 0.000
0.000 0.000 4.140
ATOMIC_POSITIONS angstrom
Ni 0.000 0.000 0.000
Ni 3.142 3.142 0.000
Mg 1.076 4.218 2.070
Mg 4.218 5.208 2.070
Mg 5.208 2.066 2.070
Mg 2.066 1.076 2.070
Ir 2.281 5.423 0.000
Ir 5.423 4.003 0.000
Ir 4.003 0.861 0.000
Ir 0.861 2.281 0.000
! ΔE_f, meV per atom: -158
! Crystal system: tetragonal